Density functional theory data (GGA-PBE) for a geometry-optimized Sr2Li5Ag3 structure. Values from VASP.

Cell and atoms, written as Quantum ESPRESSO input:
```
&SYSTEM
  ibrav = 0, nat = 20, ntyp = 3
/
ATOMIC_SPECIES
Ag 107.87 Ag.upf
Li 6.94 Li.upf
Sr 87.62 Sr.upf
ATOMIC_POSITIONS angstrom
Ag -9.696 0.279 8.362
Ag -2.872 -2.632 3.751
Ag 1.142 -3.465 6.011
Ag -4.078 0.634 5.272
Ag -5.507 -0.868 11.047
Ag -4.972 -2.938 7.907
Li -7.757 2.136 7.910
Li -2.229 0.189 3.241
Li -4.902 -1.909 5.447
Li -5.080 -0.622 2.810
Li -3.322 -1.868 9.725
Li -10.326 1.734 6.085
Li -4.910 -0.005 8.098
Li -7.273 -1.687 8.847
Li -1.290 -4.445 5.274
Li 0.029 -1.812 4.080
Sr -1.359 -2.485 0.925
Sr -7.506 -0.010 5.413
Sr -8.133 0.971 11.184
Sr -1.931 -1.603 6.830
CELL_PARAMETERS angstrom
-2.581 -3.569 -1.567
2.365 -4.218 5.711
-9.154 6.054 8.261
```

## Properties
E, eV/atom: -2.296
Total magnetic moment, μB/f.u.: 0.00
Crystal system: orthorhombic
Space-group type: Cmc2_1 (36)
Fermi-level density of states, states/eV/f.u.: 5.62

Density functional theory data (GGA-PBE) for a geometry-optimized Sr2Li5Ag structure. Values from VASP.

Cell and atoms, written as Quantum ESPRESSO input:
```
&SYSTEM
  ibrav = 0, nat = 8, ntyp = 3
/
ATOMIC_SPECIES
Li 6.94 Li.upf
Sr 87.62 Sr.upf
Ag 107.87 Ag.upf
ATOMIC_POSITIONS angstrom
Li 2.974 3.824 4.462
Li 1.214 1.561 4.443
Li 3.673 1.069 3.053
Li 0.132 3.824 3.053
Li 0.832 1.070 1.643
Sr 3.375 0.814 6.974
Sr -0.042 3.472 6.973
Ag 0.155 0.200 6.575
CELL_PARAMETERS angstrom
5.485 0.000 2.721
-1.350 5.316 2.721
-0.396 -0.509 7.689
```

## Properties
E, eV/atom: -1.989
Total magnetic moment, μB/f.u.: 0.00
Crystal system: tetragonal
Space-group type: I4mm (107)
Fermi-level density of states, states/eV/f.u.: 4.64

Density functional theory data (GGA-PBE) for a geometry-optimized Sr2Li16Ag structure. Values from VASP.

Cell and atoms, written as Quantum ESPRESSO input:
```
&SYSTEM
  ibrav = 0, nat = 19, ntyp = 3
/
ATOMIC_SPECIES
Li 6.94 Li.upf
Sr 87.62 Sr.upf
Ag 107.87 Ag.upf
ATOMIC_POSITIONS angstrom
Li -10.501 6.810 1.534
Li -6.726 7.692 -2.384
Li -9.804 2.106 -3.088
Li -7.586 0.890 -1.388
Li -6.013 4.360 2.256
Li -6.796 2.872 -3.608
Li -9.554 7.612 -3.127
Li -11.939 3.636 -1.800
Li -4.979 5.236 -2.839
Li -7.614 6.940 1.988
Li -7.829 1.998 1.475
Li -7.566 5.836 -4.333
Li -1.152 0.650 -0.122
Li -10.357 1.637 -0.363
Li -9.008 4.616 2.764
Li -5.227 6.335 0.028
Sr -4.416 2.492 -0.468
Sr -8.464 4.777 -0.898
Ag -11.539 6.513 -1.224
CELL_PARAMETERS angstrom
-4.609 0.736 -6.078
-6.608 -0.956 3.762
-1.572 7.438 0.960
```

## Properties
E, eV/atom: -1.949
Total magnetic moment, μB/f.u.: 0.00
Crystal system: trigonal
Space-group type: R3m (160)
Fermi-level density of states, states/eV/f.u.: 10.92

Density functional theory data (GGA-PBE) for a geometry-optimized SrLiAg2 structure. Values from VASP.

Cell and atoms, written as Quantum ESPRESSO input:
```
&SYSTEM
  ibrav = 0, nat = 8, ntyp = 3
/
ATOMIC_SPECIES
Sr 87.62 Sr.upf
Li 6.94 Li.upf
Ag 107.87 Ag.upf
ATOMIC_POSITIONS angstrom
Sr 5.222 2.611 4.357
Sr 0.000 0.000 0.000
Li 2.611 5.222 4.357
Li 2.611 2.611 0.000
Ag 2.905 1.306 2.179
Ag 2.317 3.917 2.179
Ag 3.917 4.928 6.536
Ag 6.528 5.516 6.536
CELL_PARAMETERS angstrom
5.222 0.000 0.000
0.000 5.222 0.000
2.611 2.611 8.714
```

## Properties
E, eV/atom: -2.354
Total magnetic moment, μB/f.u.: 0.00
Crystal system: tetragonal
Space-group type: I-42d (122)
Fermi-level density of states, states/eV/f.u.: 2.34